DFT (GGA-PBE) results for a relaxed CaLaMg crystal.

Lattice parameters (Å, degrees): 3.9077 3.9077 13.3357 90.00 90.00 90.00
Fractional positions:
Ca 0.0000 0.5000 0.8961
Ca 0.5000 0.0000 0.1039
La 0.0000 0.5000 0.5905
La 0.5000 0.0000 0.4095
Mg 0.5000 0.0000 0.7453
Mg 0.0000 0.5000 0.2547

Computed properties:
Total DFT energy (no corrections) in eV/cell: -17.390
Calculated formation energy in meV per atom: -57
Total moment in μB/f.u.: 0.00